# 1
Density functional theory data (PBE) for a relaxed Y6SnC3 crystal.

Summary:
The calculation puts the density of states at the Fermi level at 2.3 states/eV per cell. Its formation energy is -0.327 eV per atom. Its mass density is 5.15 g/cm³. The symmetry is R3 (146). For the uncorrected energy, the calculation gives -7.37 eV/atom.

The structure in POSCAR format:
```
Y6SnC3
1.0
2.116 -5.850 -2.045
-1.101 1.040 6.371
-6.696 1.747 -1.442
Y Sn C
6 1 3
Cartesian
-4.640 -0.438 1.065
-1.980 0.265 4.131
0.170 -4.314 -1.556
-5.351 0.594 4.228
-3.606 -3.109 -0.430
-0.927 -1.961 1.298
-3.938 -2.506 3.094
1.027 -3.559 0.758
-0.066 -1.269 3.561
-2.395 -0.765 -0.289
```


# 2
Density functional theory data (PBE) for a relaxed SrLaAu2 crystal.

Summary:
The calculation puts the density of states at the Fermi level at 2.4 states/eV per cell. Its formation energy is -0.732 eV per atom. Its mass density is 8.16 g/cm³. The symmetry is C2/m (12). For the uncorrected energy, the calculation gives -4.02 eV/atom.

The structure in POSCAR format:
```
SrLaAu2
1.0
4.446 -0.038 0.025
2.256 3.831 0.025
2.184 1.236 7.395
Sr Au La
1 2 1
Cartesian
6.664 3.772 5.584
6.701 3.792 0.165
4.444 2.515 3.608
2.221 1.257 1.861
```


# 3
Density functional theory data (PBE) for a relaxed InCu2Br crystal.

Summary:
The calculation puts the density of states at the Fermi level at 1.8 states/eV per cell. Its mass density is 6.72 g/cm³. The symmetry is Fm-3m (225). For the uncorrected energy, the calculation gives -2.68 eV/atom. The distance to the lowest polymorph of the same formula comes out at 466.8 meV per atom.

The structure in POSCAR format:
```
InCu2Br
1.0
-0.453 -1.765 4.469
-0.484 3.006 3.745
-4.228 0.323 2.305
Cu Br In
2 1 1
Cartesian
-1.291 0.391 2.630
-3.874 1.173 7.889
0.000 0.000 0.000
-2.583 0.782 5.259
```


# 4
Density functional theory data (PBE) for a relaxed Ba3CuMo crystal.

Summary:
The calculation puts the density of states at the Fermi level at 3.2 states/eV per cell. Its formation energy is 0.853 eV per atom. Its mass density is 4.60 g/cm³. The symmetry is Pm-3m (221). For the uncorrected energy, the calculation gives -3.29 eV/atom. The distance to the lowest polymorph of the same formula comes out at 0.0 meV per atom.

The structure in POSCAR format:
```
Ba3CuMo
1.0
-3.432 -4.792 0.412
0.457 -0.829 -5.832
4.788 -3.356 0.852
Mo Ba Cu
1 3 1
Cartesian
0.000 0.000 0.000
0.228 -0.414 -2.916
2.394 -1.678 0.426
-1.716 -2.396 0.206
0.906 -4.488 -2.284
```


# 5
Density functional theory data (PBE) for a relaxed SmEuCuIr crystal.

Summary:
The calculation puts the density of states at the Fermi level at 4.7 states/eV per cell. Its formation energy is -0.355 eV per atom. Its mass density is 10.56 g/cm³. The symmetry is F-43m (216). For the uncorrected energy, the calculation gives -7.34 eV/atom.

The structure in POSCAR format:
```
SmEuCuIr
1.0
-3.201 -2.953 -2.430
0.251 -4.949 0.566
-3.573 -2.407 2.513
Eu Ir Cu Sm
1 1 1 1
Cartesian
0.000 0.000 0.000
-4.893 -7.732 0.487
-1.631 -2.577 0.162
-3.262 -5.154 0.325
```


# 6
Density functional theory data (PBE) for a relaxed SmNb4 crystal.

Summary:
The calculation puts the density of states at the Fermi level at 7.0 states/eV per cell. Its formation energy is 2.098 eV per atom. Its mass density is 7.36 g/cm³. The symmetry is Pm-3m (221). For the uncorrected energy, the calculation gives -6.90 eV/atom.

The structure in POSCAR format:
```
SmNb4
1.0
-2.433 0.813 -4.176
2.810 -3.306 -2.280
-3.195 -3.526 1.175
Nb Sm
4 1
Cartesian
0.000 0.000 0.000
-2.814 -1.357 -1.500
-0.193 -3.416 -0.552
0.188 -1.246 -3.228
-1.409 -3.009 -2.640
```